Here is a relaxed Li2VP2O8 crystal from Alexandria. Energies are from PBE with a Hubbard U.

Values from the calculation:
Crystal system: orthorhombic

Cell: 4.9011 9.9281 5.7797 Å, 90.01 90.00 90.00°
Site moments in Bohr magnetons follow the coordinates.
Fractional coordinates of all 26 atoms:
P 0.1317 0.5864 0.2307  0.00
P 0.9350 0.4044 0.7308  0.00
P 0.3683 0.0864 0.2307  0.00
P 0.5650 0.9044 0.7308  0.00
O 0.2903 0.6549 0.0251  -0.01
O 0.1744 0.4324 0.2308  0.00
O 0.7025 0.8250 0.5185  -0.03
O 0.8260 0.6201 0.2306  0.00
O 0.2589 0.8906 0.7308  0.00
O 0.7024 0.8252 0.9432  -0.03
O 0.6740 0.1201 0.2306  0.00
O 0.2904 0.6550 0.4362  -0.01
O 0.6701 0.0478 0.7307  -0.01
O 0.2097 0.1549 0.0251  -0.01
O 0.8299 0.5478 0.7307  -0.01
O 0.3256 0.9324 0.2308  0.00
O 0.2412 0.3906 0.7308  0.00
O 0.2096 0.1550 0.4362  -0.01
O 0.7976 0.3252 0.9432  -0.03
O 0.7975 0.3250 0.5185  -0.03
V 0.5572 0.7685 0.2308  1.06
V 0.9428 0.2685 0.2308  1.06
Li 0.0185 0.7303 0.7316  0.00
Li 0.0602 0.0593 0.7303  0.00
Li 0.4399 0.5593 0.7303  0.00
Li 0.4815 0.2303 0.7315  0.00

***

Here is a relaxed Li2VP2O8 crystal from Alexandria. Energies are from PBE with a Hubbard U.

Values from the calculation:
Crystal system: orthorhombic

Cell: 6.8573 9.2510 10.4459 Å, 90.00 90.00 90.00°
Site moments in Bohr magnetons follow the coordinates.
Fractional coordinates of all 52 atoms:
O 0.5327 0.1453 0.6978  0.00
O 0.0522 0.2815 0.7996  0.00
O 0.6857 0.5007 0.2612  0.00
O 0.8035 0.7078 0.9681  -0.12
O 0.6444 0.9590 0.1499  0.00
O 0.8556 0.0410 0.6499  0.00
O 0.1857 0.9993 0.7388  0.00
O 0.1965 0.2078 0.5319  -0.12
O 0.3822 0.4075 0.7040  0.00
O 0.3035 0.7922 0.0319  -0.12
O 0.5637 0.9161 0.5538  0.00
O 0.1444 0.5410 0.8501  0.00
O 0.3945 0.1000 0.0146  0.00
O 0.4363 0.4161 0.9462  0.00
O 0.9478 0.7815 0.7004  0.00
O 0.5522 0.2185 0.2004  0.00
O 0.9673 0.8547 0.1978  0.00
O 0.8143 0.4993 0.7612  0.00
O 0.1178 0.5925 0.2040  0.00
O 0.3556 0.4590 0.3501  0.00
O 0.3143 0.0007 0.2388  0.00
O 0.9363 0.0839 0.0538  0.00
O 0.1055 0.9000 0.5146  0.00
O 0.8822 0.0925 0.2960  0.00
O 0.4673 0.6453 0.8022  0.00
O 0.6178 0.9075 0.7960  0.00
O 0.0327 0.3547 0.3022  0.00
O 0.0637 0.5839 0.4462  0.00
O 0.6965 0.2922 0.4681  -0.12
O 0.8945 0.4000 0.9854  0.00
O 0.4478 0.7185 0.2996  0.00
O 0.6055 0.6000 0.4854  0.00
P 0.5330 0.5733 0.3495  0.00
P 0.0330 0.9267 0.6505  0.00
P 0.8719 0.0021 0.1701  0.00
P 0.3719 0.4979 0.8299  0.00
P 0.9670 0.4267 0.8495  0.00
P 0.6281 0.9979 0.6701  0.00
P 0.1281 0.5021 0.3299  0.00
P 0.4670 0.0733 0.1505  0.00
V 0.2633 0.2117 0.6818  1.08
V 0.7367 0.7117 0.8182  1.08
V 0.2367 0.7883 0.1818  1.08
V 0.7633 0.2883 0.3182  1.08
Li 0.1362 0.0712 0.3911  0.00
Li 0.3694 0.7955 0.4911  0.00
Li 0.8638 0.5712 0.1089  0.00
Li 0.6362 0.4288 0.6089  0.00
Li 0.3638 0.9288 0.8911  0.00
Li 0.1306 0.2045 0.9911  0.00
Li 0.6306 0.2955 0.0089  0.00
Li 0.8694 0.7045 0.5089  0.00

***

Here is a relaxed LiVPO4 crystal from Alexandria. Energies are from PBE with a Hubbard U.

Values from the calculation:
Crystal system: orthorhombic

Cell: 5.4918 6.4239 5.4918 Å, 76.97 61.80 103.03°
Site moments in Bohr magnetons follow the coordinates.
Fractional coordinates of all 14 atoms:
O 0.1511 0.3998 0.3045  0.00
O 0.6829 0.8948 0.8723  0.00
O 0.8723 0.6052 0.6829  0.00
O 0.2671 0.3948 0.7881  0.00
O 0.2044 0.8998 0.7513  0.00
O 0.7881 0.1052 0.2671  0.00
O 0.7513 0.6002 0.2044  0.00
O 0.3045 0.1002 0.1511  0.00
P 0.8727 0.7500 0.8727  0.01
P 0.1227 0.2500 0.1227  0.01
V 0.4346 0.2500 0.4346  2.72
V 0.1846 0.7500 0.1846  2.72
Li 0.8067 0.2500 0.8067  0.00
Li 0.5567 0.7500 0.5567  0.00

***

Here is a relaxed Li3V4P6O24 crystal from Alexandria. Energies are from PBE with a Hubbard U.

Values from the calculation:
Crystal system: triclinic

Cell: 8.5842 8.5765 8.5376 Å, 60.69 60.76 60.51°
Site moments in Bohr magnetons follow the coordinates.
Fractional coordinates of all 37 atoms:
Li 0.9690 0.5464 0.4873  0.00
Li 0.5398 0.9982 0.9588  0.00
Li 0.2587 0.1399 0.3408  0.00
O 0.0340 0.1167 0.3018  -0.01
O 0.4659 0.2001 0.3845  -0.01
O 0.0863 0.4392 0.2403  -0.01
O 0.5314 0.9205 0.2846  -0.01
O 0.5877 0.7351 0.9476  -0.01
O 0.3785 0.6794 0.5134  -0.01
O 0.7332 0.5869 0.4367  -0.01
O 0.4518 0.0783 0.7318  -0.01
O 0.9439 0.2262 0.5794  -0.02
O 0.4034 0.2665 0.0595  -0.01
O 0.7727 0.0493 0.9144  -0.01
O 0.5073 0.7956 0.6332  -0.02
O 0.3060 0.6217 0.0056  0.00
O 0.0684 0.7643 0.4127  -0.01
O 0.6309 0.2961 0.4882  0.00
O 0.1285 0.0017 0.7976  0.00
O 0.8153 0.4936 0.1217  -0.03
O 0.1753 0.5054 0.8866  -0.01
O 0.2324 0.9366 0.0794  -0.03
O 0.9111 0.5643 0.7629  -0.01
O 0.2685 0.4114 0.5758  -0.02
O 0.6886 0.3852 0.9927  -0.01
O 0.0010 0.8752 0.6866  -0.01
O 0.8731 0.0057 0.2087  0.00
P 0.5373 0.7452 0.4662  0.01
P 0.7496 0.5415 0.9563  0.01
P 0.0457 0.9588 0.2508  0.01
P 0.9614 0.0360 0.7493  0.01
P 0.4571 0.2460 0.5419  0.01
P 0.2458 0.4628 0.0416  0.01
V 0.1396 0.6368 0.6451  1.03
V 0.6401 0.1432 0.1393  1.87
V 0.8577 0.3592 0.3545  1.07
V 0.3619 0.8560 0.8618  1.06

***

Which offset from the most stable computed form belongs to each record? In order, 0.0273, 0.0467, 0.0765, 0.0000 eV per atom.
Which E belongs to each record? In order, -6.964, -6.945, -7.085, -7.262 eV per atom.